# LaEuCu GGA-PBE relaxed
data_LaEuCu
_chemical_formula_sum 'La2 Eu2 Cu2'
_cell_length_a 3.682
_cell_length_b 3.682
_cell_length_c 13.123
_cell_angle_alpha 90.00
_cell_angle_beta 90.00
_cell_angle_gamma 90.00
_space_group_name_H-M_alt 'I 4 m m'
_space_group_IT_number 107
_space_group_name_Hall 'I 4 -2'
loop_
_atom_site_label
_atom_site_fract_x
_atom_site_fract_y
_atom_site_fract_z
_atom_site_occupancy
La1 0.000 0.000 0.000 1
Eu1 0.000 0.000 0.735 1
Cu1 0.000 0.000 0.374 1
# - DFT total energy: -6.49 eV/atom
# - Energy above the lowest structure with this stoichiometry: 0 meV/atom
# - Crystal system: tetragonal
# - Formation enthalpy at 0 K: -56 meV per atom